# 1
Tm2Sc7In2 | PBE | optimized geometry

Calculated values
uncorrected energy = -0.40042 Ry per atom
density of states at the Fermi level = 1.03 states/eV/atom

Lattice parameters (Å, degrees): 6.0931 6.0931 7.9207 101.22 101.22 97.37
Fractional positions:
1 Tm 0.1854 0.8146 0.0000
2 Tm 0.8146 0.1854 0.0000
3 Sc 0.0248 0.3863 0.6772
4 Sc 0.3592 0.3592 0.0823
5 Sc 0.3863 0.0248 0.6772
6 Sc 0.5000 0.5000 0.5000
7 Sc 0.6137 0.9752 0.3228
8 Sc 0.6408 0.6408 0.9177
9 Sc 0.9752 0.6137 0.3228
10 In 0.1259 0.1259 0.3412
11 In 0.8741 0.8741 0.6588

=====

# 2
TmSc6In | PBE | optimized geometry

Calculated values
uncorrected energy = -0.42272 Ry per atom
ΔE to the lowest computed polymorph = 0 meV/atom
density of states at the Fermi level = 1.58 states/eV/atom

Lattice parameters (Å, degrees): 4.5807 4.5807 9.3527 90.00 90.00 90.00
Fractional positions:
1 Tm 0.0000 0.0000 0.0000
2 Sc 0.0000 0.5000 0.2569
3 Sc 0.0000 0.5000 0.7431
4 Sc 0.5000 0.0000 0.2569
5 Sc 0.5000 0.0000 0.7431
6 Sc 0.5000 0.5000 0.0000
7 Sc 0.5000 0.5000 0.5000
8 In 0.0000 0.0000 0.5000

=====

ΔH_f (0 K) values, unit eV per atom, following the record order: -0.108, -0.101.